# 1
# YC2 | Alexandria | PBE-GGA | optimized geometry
# ΔH_f (0 K), eV/atom: -0.11
# Offset from the most stable computed form, eV per atom: 0.074
data_YC2
_cell_length_a 3.723
_cell_length_b 4.713
_cell_length_c 5.038
_cell_angle_alpha 90.00
_cell_angle_beta 90.00
_cell_angle_gamma 90.00
_symmetry_space_group_name_H-M 'I m m m'
_symmetry_Int_Tables_number 71
_symmetry_space_group_name_Hall '-I 2 2'
loop_
_atom_site_label
_atom_site_type_symbol
_atom_site_fract_x
_atom_site_fract_y
_atom_site_fract_z
Y1 Y 0.000 0.000 0.000
C1 C 0.000 0.138 0.500

=====

# 2
# YC2 | Alexandria | PBE-GGA | optimized geometry
# ΔH_f (0 K), eV/atom: -0.18
# Offset from the most stable computed form, eV per atom: 0.000
data_YC2
_cell_length_a 3.691
_cell_length_b 3.691
_cell_length_c 6.203
_cell_angle_alpha 90.00
_cell_angle_beta 90.00
_cell_angle_gamma 90.00
_symmetry_space_group_name_H-M 'I 4/m m m'
_symmetry_Int_Tables_number 139
_symmetry_space_group_name_Hall '-I 4 2'
loop_
_atom_site_label
_atom_site_type_symbol
_atom_site_fract_x
_atom_site_fract_y
_atom_site_fract_z
Y1 Y 0.000 0.000 0.000
C1 C 0.000 0.000 0.395

=====

# 3
# YC2 | Alexandria | PBE-GGA | optimized geometry
# ΔH_f (0 K), eV/atom: 1.56
# Offset from the most stable computed form, eV per atom: 1.748
data_YC2
_cell_length_a 4.1968
_cell_length_b 4.1968
_cell_length_c 5.0970
_cell_angle_alpha 90.00
_cell_angle_beta 90.00
_cell_angle_gamma 120.00
_symmetry_space_group_name_H-M 'P 63/m m c'
_symmetry_Int_Tables_number 194
_symmetry_space_group_name_Hall '-P 6c 2c'
loop_
_atom_site_label
_atom_site_type_symbol
_atom_site_fract_x
_atom_site_fract_y
_atom_site_fract_z
Y1 Y 0.3333 0.6667 0.2500
C1 C 0.0000 0.0000 0.0000
C2 C 0.3333 0.6667 0.7500

=====

# 4
# Y3C2 | Alexandria | PBE-GGA | optimized geometry
# ΔH_f (0 K), eV/atom: -0.07
# Offset from the most stable computed form, eV per atom: 0.213
data_Y3C2
_cell_length_a 10.830
_cell_length_b 10.987
_cell_length_c 7.110
_cell_angle_alpha 90.00
_cell_angle_beta 90.00
_cell_angle_gamma 90.00
_symmetry_space_group_name_H-M 'F d d 2'
_symmetry_Int_Tables_number 43
_symmetry_space_group_name_Hall 'F 2 -2d'
loop_
_atom_site_label
_atom_site_type_symbol
_atom_site_fract_x
_atom_site_fract_y
_atom_site_fract_z
Y1 Y 0.000 0.000 0.000
Y2 Y 0.088 0.213 0.609
C1 C 0.046 0.144 0.282

=====

# 5
# Y5C | Alexandria | PBE-GGA | optimized geometry
# ΔH_f (0 K), eV/atom: 0.40
# Offset from the most stable computed form, eV per atom: 0.338
data_Y5C
_cell_length_a 7.6240
_cell_length_b 7.6240
_cell_length_c 3.5587
_cell_angle_alpha 90.00
_cell_angle_beta 90.00
_cell_angle_gamma 120.00
_symmetry_space_group_name_H-M 'P -6 2 m'
_symmetry_Int_Tables_number 189
_symmetry_space_group_name_Hall 'P -6 -2'
loop_
_atom_site_label
_atom_site_type_symbol
_atom_site_fract_x
_atom_site_fract_y
_atom_site_fract_z
Y1 Y 0.0000 0.7620 0.0000
Y2 Y 0.3333 0.6667 0.5000
C1 C 0.0000 0.0000 0.5000

=====

# 6
# Y3C | Alexandria | PBE-GGA | optimized geometry
# ΔH_f (0 K), eV/atom: 0.54
# Offset from the most stable computed form, eV per atom: 0.700
data_Y3C
_cell_length_a 4.171
_cell_length_b 4.274
_cell_length_c 5.985
_cell_angle_alpha 90.00
_cell_angle_beta 90.00
_cell_angle_gamma 90.00
_symmetry_space_group_name_H-M 'P m m 2'
_symmetry_Int_Tables_number 25
loop_
_symmetry_equiv_pos_as_xyz
'x,y,z'
'-x,-y,z'
'-x,y,z'
'x,-y,z'
loop_
_atom_site_label
_atom_site_type_symbol
_atom_site_fract_x
_atom_site_fract_y
_atom_site_fract_z
Y1 Y 0.000 0.000 0.000
Y2 Y 0.000 0.500 0.461
Y3 Y 0.500 0.000 0.438
C1 C 0.500 0.500 0.240

=====

Which formula does entry 2 have? YC2

=====

Among the records above, which one has the highest ΔH_f (0 K)? number 3